The following is a PBE calculation of a relaxed structure of Na2Li4Hg3, from Alexandria.

Cell: 8.4380 4.8696 8.9805 Å, 90.00 90.07 90.00°
Closest atoms and distances in Å follow each position.
Space group C2/m (No. 12)
Symmetry-distinct sites (fractional):
Na: 0.1674 0.0000 0.2296 [4 per cell]  7 Li 2.99-3.03, 4 Hg 3.17-3.28
Li: 0.0011 0.5000 0.3424 [4 per cell]  1 Li 2.83, 4 Hg 2.89-3.08, 3 Na 2.99
Li: 0.1662 0.0000 0.8962 [4 per cell]  4 Hg 2.82-2.97, 4 Na 2.99-3.03
Hg: 0.0000 0.5000 0.0000 [2 per cell]  8 Li 2.96-3.08
Hg: 0.1661 0.0000 0.5822 [4 per cell]  4 Li 2.82-2.89

The final energy is -1.476 eV per atom. The volume comes out at 369.0 Å³/cell. For the density of states at the Fermi level, the calculation gives 0.3417 states/eV/atom. As for the formation energy from the elements: -202 kJ/mol of formula units. Its crystal system is monoclinic.